No. 1
The following is a DFT calculation (meta-GGA SCAN) of a crystal of YSc3Al relaxed with PBEsol.

Cell lengths 5.043, 5.043, 5.043 Å; angles 90.00, 90.00, 90.00 degrees
Space group Pm-3m (No. 221)
Symmetry-distinct sites (fractional):
Y (0.000, 0.000, 0.000) x1
Sc (0.000, 0.000, 0.500) x3
Al (0.500, 0.500, 0.500) x1

Summary:
E = -72.8 eV for the cell shown
Total magnetic moment = 0.0001 μB per atom
Fermi-level density of states = 4.8 states/eV per cell

***

No. 2
The following is a DFT calculation (meta-GGA SCAN) of a crystal of LaZnW2 relaxed with PBEsol.

Cell lengths 2.764, 4.093, 6.730 Å; angles 90.00, 90.00, 90.00 degrees
Space group Pmmm (No. 47)
Symmetry-distinct sites (fractional):
La (0.000, 0.000, 0.000) x1
Zn (0.000, 0.000, 0.500) x1
W (0.500, 0.500, 0.315) x2

Summary:
E = -193.0 eV for the cell shown
Total magnetic moment = 0.0000 μB per atom
Fermi-level density of states = 3.3 states/eV per cell

***

No. 3
The following is a DFT calculation (meta-GGA SCAN) of a crystal of LaZr3Sn relaxed with PBEsol.

Cell lengths 5.339, 5.339, 5.339 Å; angles 90.00, 90.00, 90.00 degrees
Space group Pm-3m (No. 221)
Symmetry-distinct sites (fractional):
La (0.000, 0.000, 0.000) x1
Zr (0.000, 0.500, 0.500) x3
Sn (0.500, 0.500, 0.500) x1

Summary:
E = -168.5 eV for the cell shown
Total magnetic moment = 0.4485 μB per atom
Fermi-level density of states = 8.4 states/eV per cell

***

No. 4
The following is a DFT calculation (meta-GGA SCAN) of a crystal of DySnGe relaxed with PBEsol.

Cell lengths 4.233, 15.991, 4.014 Å; angles 90.00, 90.00, 90.00 degrees
Space group Cmcm (No. 63)
Symmetry-distinct sites (fractional):
Dy (0.000, 0.094, 0.250) x4
Sn (0.000, 0.254, 0.750) x4
Ge (0.000, 0.446, 0.250) x4

Summary:
E = -419.5 eV for the cell shown
Total magnetic moment = 0.0000 μB per atom
Fermi-level density of states = 4.3 states/eV per cell

***

No. 5
The following is a DFT calculation (meta-GGA SCAN) of a crystal of CaCd2Br relaxed with PBEsol.

Cell lengths 4.672, 4.672, 9.299 Å; angles 90.00, 90.00, 90.00 degrees
Space group I-4m2 (No. 119)
Symmetry-distinct sites (fractional):
Ca (0.000, 0.000, 0.000) x2
Cd (0.000, 0.000, 0.500) x2
Cd (0.000, 0.500, 0.250) x2
Br (0.000, 0.500, 0.750) x2

Summary:
Total magnetic moment = 0.0000 μB per atom
Energy relative to the elements, uncorrected = -536 meV per atom
Fermi-level density of states = 3.3 states/eV per cell

***

No. 6
The following is a DFT calculation (meta-GGA SCAN) of a crystal of Lu2InAu2 relaxed with PBEsol.

Cell lengths 7.728, 7.728, 3.581 Å; angles 90.00, 90.00, 90.00 degrees
Space group P4/mbm (No. 127)
Symmetry-distinct sites (fractional):
Lu (0.167, 0.333, 0.000) x4
In (0.000, 0.000, 0.500) x2
Au (0.130, 0.630, 0.500) x4

Summary:
E = -575.3 eV for the cell shown
Total magnetic moment = 0.0000 μB per atom
Fermi-level density of states = 4.9 states/eV per cell

***

No. 7
The following is a DFT calculation (meta-GGA SCAN) of a crystal of ZrFePb2 relaxed with PBEsol.

Cell lengths 3.325, 5.334, 9.424 Å; angles 90.00, 90.00, 90.00 degrees
Space group Immm (No. 71)
Symmetry-distinct sites (fractional):
Zr (0.000, 0.000, 0.000) x2
Fe (0.000, 0.000, 0.500) x2
Pb (0.000, 0.500, 0.222) x4

Summary:
E = -399.2 eV for the cell shown
Total magnetic moment = 0.6448 μB per atom
Fermi-level density of states = 5.4 states/eV per cell

***

No. 8
The following is a DFT calculation (meta-GGA SCAN) of a crystal of FeI2NF relaxed with PBEsol.

Cell lengths 5.220, 5.220, 3.349 Å; angles 90.00, 90.00, 90.00 degrees
Space group P4/mmm (No. 123)
Symmetry-distinct sites (fractional):
Fe (0.000, 0.000, 0.000) x1
I (0.000, 0.500, 0.000) x2
N (0.000, 0.000, 0.500) x1
F (0.500, 0.500, 0.500) x1

Summary:
Total magnetic moment = 0.3596 μB per atom
Energy relative to the elements, uncorrected = 239 meV per atom
Fermi-level density of states = 3.5 states/eV per cell